No. 1
A plane-wave DFT calculation with SCAN was carried out for HfPbCl3 at its PBEsol-relaxed geometry.

Values from the calculation:
space group: Pm-3m, No. 221
formation energy from raw total energies: -0.785 eV/atom

a = 4.931 Å, b = 4.931 Å, c = 4.931 Å
α = 90.00°, β = 90.00°, γ = 90.00°
Sites, in units of the cell vectors:
Hf: 0.000 0.000 0.000
Cl: 0.000 0.000 0.500
Cl: 0.000 0.500 0.000
Cl: 0.500 0.000 0.000
Pb: 0.500 0.500 0.500



No. 2
A plane-wave DFT calculation with SCAN was carried out for HfPbSCl2 at its PBEsol-relaxed geometry.

Values from the calculation:
space group: P4/mmm, No. 123
formation energy from raw total energies: -0.934 eV/atom

a = 4.893 Å, b = 4.893 Å, c = 4.934 Å
α = 90.00°, β = 90.00°, γ = 90.00°
Sites, in units of the cell vectors:
Hf: 0.000 0.000 0.000
Pb: 0.500 0.500 0.500
S: 0.000 0.000 0.500
Cl: 0.500 0.000 0.000
Cl: 0.000 0.500 0.000



No. 3
A plane-wave DFT calculation with SCAN was carried out for HfPbS2Cl at its PBEsol-relaxed geometry.

Values from the calculation:
space group: P4/mmm, No. 123
formation energy from raw total energies: 0.521 eV/atom

a = 5.048 Å, b = 5.104 Å, c = 5.104 Å
α = 90.00°, β = 90.00°, γ = 90.00°
Each line ends with the local moment (μB).
Sites, in units of the cell vectors:
Hf: 0.500 0.500 0.500  1.22
Pb: 0.000 0.000 0.000  -0.01
S: 0.000 0.500 0.000  -0.05
S: 0.000 0.000 0.500  -0.05
Cl: 0.500 0.000 0.000  0.01



No. 4
A plane-wave DFT calculation with SCAN was carried out for HfTlPbCl2 at its PBEsol-relaxed geometry.

Values from the calculation:
space group: P4/mmm, No. 123
formation energy from raw total energies: -0.543 eV/atom

a = 4.789 Å, b = 4.789 Å, c = 5.957 Å
α = 90.00°, β = 90.00°, γ = 90.00°
Sites, in units of the cell vectors:
Hf: 0.000 0.000 0.000
Cl: 0.500 0.000 0.000
Cl: 0.000 0.500 0.000
Tl: 0.000 0.000 0.500
Pb: 0.500 0.500 0.500



Question: Among the records above, which one has the lowest formation energy from raw total energies?
Answer: HfPbSCl2